VAs2SeF after structural relaxation. Source: the Alexandria database, functional GGA+U.

a = 4.240 Å, b = 4.240 Å, c = 5.205 Å
α = 90.00°, β = 90.00°, γ = 90.00°
Site moments in Bohr magnetons follow the coordinates.
Positions (direct):
As 0.000 0.500 0.000  -0.01
As 0.500 0.000 0.000  -0.01
F 0.000 0.000 0.000  -0.01
Se 0.000 0.000 0.500  0.00
V 0.500 0.500 0.500  -0.37

Output
- SG: P4/mmm
- Total DFT energy (no corrections): -3.788 eV per atom
- M_tot: 0.42 μB/cell